! AsRhW3, single point on PBEsol structure, DFT SCAN; values from VASP
&SYSTEM
  ibrav = 0, nat = 5, ntyp = 3
/
ATOMIC_SPECIES
As 74.92 As.upf
Rh 102.91 Rh.upf
W 183.84 W.upf
CELL_PARAMETERS angstrom
-2.358 -2.304 3.057
3.405 -2.904 0.437
1.751 2.544 3.268
ATOMIC_POSITIONS crystal
As 0.000 0.000 0.000
Rh 0.500 0.500 0.500
W 0.000 0.500 0.000
W 0.000 0.000 0.500
W 0.500 0.000 0.000
! space-group type: No. 221
! total magnetization: 0.000 μB/f.u.
! formation enthalpy at 0 K: 1.813 eV/atom
! D(E_F): 5.4 states/eV/f.u.

---

! ReAg2W, single point on PBEsol structure, DFT SCAN; values from VASP
&SYSTEM
  ibrav = 0, nat = 4, ntyp = 3
/
ATOMIC_SPECIES
Ag 107.87 Ag.upf
Re 186.21 Re.upf
W 183.84 W.upf
CELL_PARAMETERS angstrom
-1.460 -1.848 1.360
3.385 -2.158 0.701
1.013 3.120 4.713
ATOMIC_POSITIONS crystal
Ag 0.990 0.000 0.008
Ag 0.515 0.500 0.243
Re 0.067 0.000 0.519
W 0.427 0.500 0.730
! space-group type: No. 6
! total magnetization: 0.000 μB/f.u.
! formation enthalpy at 0 K: 0.495 eV/atom
! ΔE to the lowest computed polymorph: 0.000 eV/atom
! D(E_F): 1.8 states/eV/f.u.

---

! TlFeRe, single point on PBEsol structure, DFT SCAN; values from VASP
&SYSTEM
  ibrav = 0, nat = 3, ntyp = 3
/
ATOMIC_SPECIES
Fe 55.84 Fe.upf
Re 186.21 Re.upf
Tl 204.38 Tl.upf
CELL_PARAMETERS angstrom
-2.323 1.563 0.148
-1.951 -2.613 -3.009
-0.358 -0.942 4.321
ATOMIC_POSITIONS crystal
Fe 0.983 0.000 0.000
Re 0.735 0.333 0.667
Tl 0.281 0.667 0.333
! space-group type: No. 156
! total magnetization: 3.611 μB/f.u.
! formation enthalpy at 0 K: 0.870 eV/atom
! D(E_F): 1.3 states/eV/f.u.

---

! MgSc2Br, single point on PBEsol structure, DFT SCAN; values from VASP
&SYSTEM
  ibrav = 0, nat = 4, ntyp = 3
/
ATOMIC_SPECIES
Br 79.90 Br.upf
Mg 24.30 Mg.upf
Sc 44.96 Sc.upf
CELL_PARAMETERS angstrom
3.350 0.000 -0.016
0.000 4.565 0.000
-1.633 0.000 5.832
ATOMIC_POSITIONS crystal
Br 0.500 0.500 0.000
Mg 0.000 0.500 0.500
Sc 0.618 0.000 0.763
Sc 0.382 0.000 0.237
! space-group type: No. 10
! total magnetization: 0.000 μB/f.u.
! formation energy from raw total energies: -1.05 eV/f.u.
! D(E_F): 3.0 states/eV/f.u.

---

! MnBiPIr2, single point on PBEsol structure, DFT SCAN; values from VASP
&SYSTEM
  ibrav = 0, nat = 5, ntyp = 4
/
ATOMIC_SPECIES
P 30.97 P.upf
Ir 192.22 Ir.upf
Bi 208.98 Bi.upf
Mn 54.94 Mn.upf
CELL_PARAMETERS angstrom
-1.144 3.947 -1.601
-3.071 0.415 3.218
3.031 1.949 2.641
ATOMIC_POSITIONS crystal
P 0.000 0.000 0.000
Ir 0.000 0.000 0.500
Ir 0.000 0.500 0.000
Bi 0.500 0.500 0.500
Mn 0.500 0.000 0.000
! space-group type: No. 123
! total magnetization: 2.722 μB/f.u.
! formation enthalpy at 0 K: 0.268 eV/atom
! D(E_F): 2.2 states/eV/f.u.

---

! Dy2ScNbO7, single point on PBEsol structure, DFT SCAN; values from VASP
&SYSTEM
  ibrav = 0, nat = 22, ntyp = 4
/
ATOMIC_SPECIES
Dy 162.50 Dy.upf
Sc 44.96 Sc.upf
Nb 92.91 Nb.upf
O 16.00 O.upf
CELL_PARAMETERS angstrom
7.198 0.000 0.000
3.599 6.335 -0.011
3.599 2.039 5.998
ATOMIC_POSITIONS crystal
Dy 0.000 0.500 0.000
Dy 0.500 0.500 0.000
Dy 0.500 0.500 0.500
Dy 0.500 0.000 0.000
Sc 0.500 0.000 0.500
Sc 0.000 0.000 0.500
Nb 0.000 0.000 0.000
Nb 0.000 0.500 0.500
O 0.372 0.378 0.878
O 0.628 0.622 0.122
O 0.925 0.325 0.825
O 0.351 0.899 0.399
O 0.920 0.345 0.403
O 0.332 0.903 0.845
O 0.332 0.345 0.403
O 0.920 0.903 0.845
O 0.075 0.675 0.175
O 0.649 0.101 0.601
O 0.080 0.655 0.597
O 0.668 0.097 0.155
O 0.668 0.655 0.597
O 0.080 0.097 0.155
! space-group type: No. 74
! total magnetization: 0.000 μB/f.u.
! formation energy from raw total energies: -39.26 eV/f.u.
! D(E_F): 0.0 states/eV/f.u.

---

! ZrHgSe2, single point on PBEsol structure, DFT SCAN; values from VASP
&SYSTEM
  ibrav = 0, nat = 4, ntyp = 3
/
ATOMIC_SPECIES
Hg 200.59 Hg.upf
Se 78.96 Se.upf
Zr 91.22 Zr.upf
CELL_PARAMETERS angstrom
-3.426 -0.408 -0.547
0.956 -3.584 -2.973
-0.160 -3.061 3.633
ATOMIC_POSITIONS crystal
Hg 0.500 0.000 0.000
Se 0.000 0.000 0.500
Se 0.000 0.500 0.000
Zr 0.500 0.500 0.500
! space-group type: No. 12
! total magnetization: 0.000 μB/f.u.
! ΔE to the lowest computed polymorph: 0.682 eV/atom
! formation energy from raw total energies: -1.70 eV/f.u.
! D(E_F): 1.7 states/eV/f.u.

---

! InTcP2Cl, single point on PBEsol structure, DFT SCAN; values from VASP
&SYSTEM
  ibrav = 0, nat = 5, ntyp = 4
/
ATOMIC_SPECIES
P 30.97 P.upf
Cl 35.45 Cl.upf
Tc 98.00 Tc.upf
In 114.82 In.upf
CELL_PARAMETERS angstrom
4.525 0.000 0.000
0.000 4.525 0.000
0.000 0.000 5.129
ATOMIC_POSITIONS crystal
P 0.000 0.500 0.000
P 0.500 0.000 0.000
Cl 0.000 0.000 0.500
Tc 0.000 0.000 0.000
In 0.500 0.500 0.500
! space-group type: No. 123
! total magnetization: 0.000 μB/f.u.
! formation energy from raw total energies: 0.54 eV/f.u.
! D(E_F): 3.1 states/eV/f.u.

---

- What is the formula in the third record?
  TlFeRe